<A>
This record from OQMD describes crystalline LiHoNiTe3 at its relaxed geometry. The functional is PBE.

Results
Magnetic moment   0.014 Bohr magnetons per cell

POSCAR file:
```
LiHoNiTe3
1.0
11.874 0.000 0.000
0.000 4.127 0.000
0.000 0.000 12.183
Ni Ho Li Te
4 4 4 12
direct
0.773 0.500 0.244
0.227 0.000 0.756
0.727 0.500 0.744
0.273 0.000 0.256
0.200 0.500 0.447
0.700 0.000 0.053
0.300 0.500 0.947
0.800 0.000 0.553
0.444 0.500 0.267
0.944 0.000 0.233
0.556 0.000 0.733
0.056 0.500 0.767
0.825 0.000 0.810
0.675 0.000 0.310
0.887 0.500 0.072
0.175 0.500 0.190
0.113 0.000 0.928
0.578 0.500 0.903
0.325 0.500 0.690
0.613 0.500 0.572
0.422 0.000 0.097
0.922 0.500 0.403
0.387 0.000 0.428
0.078 0.000 0.597
```



<B>
This record from OQMD describes crystalline LiHoNiTe3 at its relaxed geometry. The functional is PBE.

Results
Magnetic moment   0.008 Bohr magnetons per cell

POSCAR file:
```
LiHoNiTe3
1.0
-7.201 -1.198 2.103
-6.106 -4.518 0.094
3.363 -4.356 9.030
Li Ni Te Ho
2 2 6 2
direct
0.235 0.235 0.750
0.765 0.765 0.250
0.488 0.488 0.250
0.512 0.512 0.750
0.099 0.099 0.250
0.641 0.641 0.588
0.359 0.359 0.412
0.641 0.641 0.912
0.901 0.901 0.750
0.359 0.359 0.088
0.000 0.000 0.500
0.000 0.000 0.000
```



<C>
This record from OQMD describes crystalline LiHoNiTe3 at its relaxed geometry. The functional is PBE.

Results
Magnetic moment   0.003 Bohr magnetons per cell

POSCAR file:
```
LiHoNiTe3
1.0
-0.633 0.743 8.506
3.164 -2.594 0.462
6.209 7.073 -2.801
Te Ho Ni Li
6 2 2 2
direct
0.563 0.250 0.347
0.437 0.750 0.653
0.081 0.250 0.332
0.919 0.750 0.668
0.708 0.750 0.012
0.292 0.250 0.988
0.177 0.250 0.658
0.823 0.750 0.342
0.596 0.250 0.095
0.404 0.750 0.905
0.683 0.250 0.659
0.317 0.750 0.341
```



Of them, <A> has the lowest stability.



<A>
This record from OQMD describes crystalline Li2Ho2O5 at its relaxed geometry. The functional is PBE.

Results
Magnetic moment   2.002 Bohr magnetons per cell

POSCAR file:
```
Li2Ho2O5
1.0
-1.630 1.331 -6.556
-3.271 -1.540 0.501
-1.370 3.233 0.997
Li Ho O
2 2 5
direct
0.757 0.500 0.500
0.243 0.500 0.500
0.000 0.000 0.000
0.500 0.000 0.000
0.210 0.500 0.000
0.790 0.500 0.000
0.210 0.000 0.500
0.790 0.000 0.500
0.500 0.500 0.500
```



<B>
This record from OQMD describes crystalline Li2Ho2O5 at its relaxed geometry. The functional is PBE.

Results
Magnetic moment   2.003 Bohr magnetons per cell

POSCAR file:
```
Li2Ho2O5
1.0
7.875 0.000 0.000
0.000 4.102 0.000
0.000 0.000 4.102
O Ho Li
5 2 2
direct
0.145 0.000 0.500
0.855 0.000 0.500
0.145 0.500 0.000
0.500 0.500 0.500
0.855 0.500 0.000
0.770 0.500 0.500
0.230 0.500 0.500
0.000 0.000 0.000
0.500 0.000 0.000
```



Of them, <B> has the lowest stability.